[1]
The following is a DFT calculation (PBE-GGA) of a relaxed Ce8Co2Ir crystal.

Calculated values
Formation energy from the elements = -171.7 kJ/mol of formula units
Magnetic moment = 0.238 μB/atom

abc: 7.3492 7.3492 5.6209
angles: 99.49 99.49 116.95
With the nearest neighbours (Å) after each atom.
Positions (direct):
Ce  0.0000  0.0000  0.0000  1 Ir 2.79, 1 Ce 3.04
Ce  0.0615  0.2845  0.5886  2 Co 2.71-2.73, 1 Ce 2.79
Ce  0.1561  0.6069  0.1720  1 Ir 2.82, 2 Co 2.93
Ce  0.2845  0.0615  0.5886  2 Co 2.71-2.73, 1 Ce 2.79
Ce  0.4801  0.7033  0.7557  2 Co 2.71-2.72, 1 Ce 2.80
Ce  0.6069  0.1561  0.1720  1 Ir 2.82, 2 Co 2.93
Ce  0.7033  0.4801  0.7557  2 Co 2.71-2.72, 1 Ce 2.80
Ce  0.7643  0.7643  0.3443  1 Ir 2.79, 1 Ce 3.04
Co  0.0911  0.6747  0.6729  6 Ce 2.71-2.93
Co  0.6747  0.0911  0.6729  6 Ce 2.71-2.93
Ir  0.3821  0.3821  0.1721  4 Ce 2.79-2.82



[2]
The following is a DFT calculation (PBE-GGA) of a relaxed ScTl2Sb4Au3 crystal.

Calculated values
Uncorrected formation energy = -0.22 eV per atom
Magnetic moment = 0.000 μB/atom

abc: 4.7565 4.7565 11.9026
angles: 90.00 90.00 90.00
With the nearest neighbours (Å) after each atom.
Positions (direct):
Sc  0.0000  0.0000  0.0000  4 Sb 2.88
Tl  0.0000  0.5000  0.7503  8 Sb 3.62-3.81, 6 Au 3.64-3.81, 2 Sc 3.81
Tl  0.5000  0.0000  0.2497  8 Sb 3.62-3.81, 6 Au 3.64-3.81, 2 Sc 3.81
Sb  0.0000  0.0000  0.5000  4 Au 2.86
Sb  0.0000  0.5000  0.1365  3 Au 2.74-2.88, 2 Sc 2.88
Sb  0.5000  0.0000  0.8635  3 Au 2.74-2.88, 2 Sc 2.88
Sb  0.5000  0.5000  0.5000  4 Au 2.86
Au  0.0000  0.5000  0.3669  5 Sb 2.74-2.86
Au  0.5000  0.0000  0.6331  5 Sb 2.74-2.86
Au  0.5000  0.5000  0.0000  4 Sb 2.88